First-principles (PBE) data for crystalline GaSnAu at its relaxed geometry, as listed in Alexandria via LeMat-Bulk.

abc: 6.477 3.806 10.858
angles: 90.00 90.00 90.00
Atoms (fractional coordinates):
1 Ga 0.127 0.250 0.075
2 Ga 0.373 0.750 0.575
3 Ga 0.627 0.250 0.425
4 Ga 0.873 0.750 0.925
5 Sn 0.176 0.250 0.375
6 Sn 0.324 0.750 0.875
7 Sn 0.676 0.250 0.125
8 Sn 0.824 0.750 0.625
9 Au 0.148 0.250 0.688
10 Au 0.352 0.750 0.188
11 Au 0.648 0.250 0.812
12 Au 0.852 0.750 0.312

Calculated values
ΔE_f: -0.038 eV/atom
Crystal system: orthorhombic